No. 1
5
Lattice="4.8593 0.0000 0.0000 0.0000 4.8593 0.0000 0.0000 0.0000 3.8346" Properties=species:S:1:pos:R:3 comment="NbBP2O (SCAN, PBEsol geometry)" formation_energy_uncorrected_ev_per_atom=0.551 sg="No. 123" dos_ef_per_ev_fu=1.9 pbc="T T T"
Nb 0.0000 0.0000 0.0000
B 2.4296 2.4296 1.9173
P 0.0000 2.4296 0.0000
P 2.4296 0.0000 0.0000
O 0.0000 0.0000 1.9173

No. 2
12
Lattice="4.6068 0.0000 0.0000 0.0000 4.6297 0.0000 0.0000 0.0000 11.7522" Properties=species:S:1:pos:R:3 comment="CuHgPb (SCAN, PBEsol geometry)" sg="No. 42" dos_ef_per_ev_fu=1.4 delta_e_f_mev_per_atom=221 pbc="T T T"
Cu 0.0000 0.0000 0.0000
Cu 0.0000 2.3148 5.8761
Cu 2.3034 0.0000 5.8761
Cu 2.3034 2.3148 0.0000
Hg 0.0000 0.0000 4.3930
Hg 0.0000 2.3148 10.2691
Hg 2.3034 0.0000 10.2691
Hg 2.3034 2.3148 4.3930
Pb 0.0000 0.0000 7.7358
Pb 0.0000 2.3148 1.8597
Pb 2.3034 0.0000 1.8597
Pb 2.3034 2.3148 7.7358

No. 3
5
Lattice="4.9607 0.0000 0.0000 0.0000 4.9607 0.0000 0.0000 0.0000 4.9932" Properties=species:S:1:pos:R:3 comment="TiSe2IBr (SCAN, PBEsol geometry)" formation_energy_uncorrected_ev_per_atom=-0.374 sg="No. 123" dos_ef_per_ev_fu=3.8 pbc="T T T"
Ti 0.0000 0.0000 0.0000
Se 0.0000 2.4804 0.0000
Se 2.4804 0.0000 0.0000
I 2.4804 2.4804 2.4966
Br 0.0000 0.0000 2.4966

Q: Number 3 is which compound?
A: TiSe2IBr